This record from the Alexandria database describes a relaxed structure of YCdMo2. The functional is GGA-PBEsol.

Cell: 4.0204 4.0204 4.6223 Å, 90.00 90.00 90.00°
Closest atoms and distances in Å follow each position.
Positions (direct):
Cd: 0.0000 0.0000 0.5000  4 Y 2.84, 8 Mo 3.06
Mo: 0.0000 0.5000 0.0000  4 Mo 2.84, 4 Cd 3.06, 4 Y 3.06
Mo: 0.5000 0.0000 0.0000  4 Mo 2.84, 4 Y 3.06, 4 Cd 3.06
Y: 0.5000 0.5000 0.5000  4 Cd 2.84, 8 Mo 3.06

Calculated values
- spin magnetization (μB/cell) = 0.000
- space group = P4/mmm, No. 123
- DFT formation energy (eV/atom) = 0.450